First-principles (PBE-GGA) data for an optimized crystal structure of Tm4Tl5Ag2, as listed in Alexandria via LeMat-Bulk.

Calculated values
**Calculated total energy**: -3.460 eV per atom
**V**: 25.69 A^3/atom

Cell: 3.585 8.094 9.745 Å, 91.98 90.00 90.00°
Atoms (fractional coordinates):
Tm (0.500, 0.772, 0.590)
Tm (0.500, 0.210, 0.860)
Tm (0.500, 0.228, 0.410)
Tm (0.500, 0.790, 0.140)
Tl (0.000, 0.547, 0.339)
Tl (0.000, 0.136, 0.131)
Tl (0.000, 0.500, 0.000)
Tl (0.000, 0.864, 0.869)
Tl (0.000, 0.453, 0.661)
Ag (0.000, 0.082, 0.629)
Ag (0.000, 0.918, 0.371)

=====

First-principles (PBE-GGA) data for an optimized crystal structure of SrMn2HPb, as listed in Alexandria via LeMat-Bulk.

Calculated values
**Calculated total energy**: -4.914 eV per atom
**V**: 20.53 A^3/atom

Cell: 4.506 5.055 4.506 Å, 90.00 90.00 90.00°
Each line ends with the local moment (μB).
Atoms (fractional coordinates):
Pb (0.000, 0.500, 0.000)  -0.06
Sr (0.500, 0.500, 0.500)  -0.04
Mn (0.000, 0.000, 0.500)  3.85
Mn (0.500, 0.000, 0.000)  3.92
H (0.000, 0.000, 0.000)  -0.06

=====

First-principles (PBE-GGA) data for an optimized crystal structure of K2CoAs, as listed in Alexandria via LeMat-Bulk.

Calculated values
**Calculated total energy**: -2.721 eV per atom
**V**: 25.24 A^3/atom

Cell: 11.126 11.126 11.126 Å, 16.85 16.85 16.85°
Each line ends with the local moment (μB).
Atoms (fractional coordinates):
As (0.250, 0.250, 0.250)  0.09
Co (0.750, 0.750, 0.750)  1.84
K (0.998, 0.998, 0.998)  -0.02
K (0.502, 0.502, 0.502)  -0.02

=====

First-principles (PBE-GGA) data for an optimized crystal structure of Ta2CdOs, as listed in Alexandria via LeMat-Bulk.

Calculated values
**Calculated total energy**: -8.791 eV per atom
**V**: 17.72 A^3/atom

Cell: 4.615 2.888 5.386 Å, 80.83 90.00 90.00°
Atoms (fractional coordinates):
Cd (0.000, 0.621, 0.485)
Os (0.500, 0.671, 0.794)
Ta (0.000, 0.971, 0.967)
Ta (0.500, 0.238, 0.253)

=====

First-principles (PBE-GGA) data for an optimized crystal structure of CdAg2Rh, as listed in Alexandria via LeMat-Bulk.

Calculated values
**Calculated total energy**: -3.473 eV per atom
**V**: 17.33 A^3/atom

Cell: 4.025 4.023 4.280 Å, 90.00 90.00 90.00°
Atoms (fractional coordinates):
Rh (0.000, 0.500, 0.500)
Ag (0.000, 0.000, 0.000)
Ag (0.500, 0.500, 0.000)
Cd (0.500, 0.000, 0.500)

=====

First-principles (PBE-GGA) data for an optimized crystal structure of Pm6SiIr2, as listed in Alexandria via LeMat-Bulk.

Calculated values
**Uncorrected formation energy**: -0.364 eV per atom
**V**: 27.81 A^3/atom

Cell: 5.601 6.630 7.948 Å, 80.41 69.37 65.02°
Atoms (fractional coordinates):
Pm (0.707, 0.721, 0.866)
Pm (0.293, 0.279, 0.134)
Pm (0.994, 0.830, 0.182)
Pm (0.380, 0.769, 0.471)
Pm (0.006, 0.170, 0.818)
Pm (0.620, 0.231, 0.529)
Si (0.000, 0.500, 0.500)
Ir (0.263, 0.640, 0.833)
Ir (0.737, 0.360, 0.167)

=====

Question: V of number 3 (K2CoAs)?
Answer: 25.24 A^3/atom